Entry 1:
A geometry-optimized Dy2Y2CBr2Cl3 structure, computed with PBE-GGA.

Summary:
E	-5.613	eV/atom

Geometry as extended XYZ:
```
10
Lattice="8.590 -1.880 0.000 8.590 1.880 0.000 -1.700 0.000 7.690" Properties=species:S:1:pos:R:3 pbc="T T T"
Br 2.279 0.000 2.689
Br 13.201 0.000 5.001
C 8.590 0.000 0.000
Cl 13.963 0.000 1.235
Cl 7.740 0.000 3.845
Cl 1.517 0.000 6.455
Dy 10.913 0.000 0.568
Dy 4.568 0.000 7.122
Y 16.781 0.000 1.602
Y -1.301 0.000 6.088
```

Entry 2:
A geometry-optimized Dy2Y2CBr2Cl3 structure, computed with PBE-GGA.

Summary:
E	-5.620	eV/atom

Geometry as extended XYZ:
```
10
Lattice="0.965 8.083 -3.799 -1.715 6.535 -5.920 -5.228 1.305 5.655" Properties=species:S:1:pos:R:3 pbc="T T T"
Br -1.565 12.361 -7.042
Br -4.413 3.562 2.977
C -0.375 7.309 -4.860
Cl -1.890 2.776 0.363
Cl -2.989 7.962 -2.032
Cl -4.088 13.147 -4.428
Dy -1.099 0.274 1.189
Dy -4.129 1.031 4.466
Y -0.897 9.470 -5.777
Y -5.081 6.453 1.712
```

The highest E belongs to which entry?
number 1

Which formula does entry 1 have?
Dy2Y2CBr2Cl3

What did the first record say?
A geometry-optimized Dy2Y2CBr2Cl3 structure, computed with PBE-GGA.

Summary:
E	-5.613	eV/atom

Geometry as extended XYZ:
```
10
Lattice="8.590 -1.880 0.000 8.590 1.880 0.000 -1.700 0.000 7.690" Properties=species:S:1:pos:R:3 pbc="T T T"
Br 2.279 0.000 2.689
Br 13.201 0.000 5.001
C 8.590 0.000 0.000
Cl 13.963 0.000 1.235
Cl 7.740 0.000 3.845
Cl 1.517 0.000 6.455
Dy 10.913 0.000 0.568
Dy 4.568 0.000 7.122
Y 16.781 0.000 1.602
Y -1.301 0.000 6.088
```

The highest E belongs to which entry?
number 1